This record from the Alexandria database describes a PBEsol-optimized structure of Li5Ca. The functional is meta-GGA SCAN.

Results
space group = Cmmm, No. 65
formation energy from the elements = 0.03 eV per atom
volume = 23.89 Å³/atom

Lattice parameters (Å, degrees): 4.720 13.170 4.613 90.00 90.00 90.00
Positions (direct):
Li  0.000  0.000  0.000
Li  0.000  0.177  0.500
Li  0.000  0.317  0.000
Li  0.000  0.683  0.000
Li  0.000  0.823  0.500
Li  0.500  0.183  0.000
Li  0.500  0.323  0.500
Li  0.500  0.500  0.000
Li  0.500  0.677  0.500
Li  0.500  0.817  0.000
Ca  0.000  0.500  0.500
Ca  0.500  0.000  0.500